No. 1
DFT (PBE) results for a relaxed SnSbH crystal.

As for the volume: 139.9 Å³ per cell. The density of states at the Fermi level comes out at 0.204 states/eV/atom. The calculation puts the relative energy among the computed polymorphs at 154 meV per atom.

The space group is P-1 (No. 2) and the conventional cell measures 4.695, 5.847 and 5.996 Å, with angles of 118.15, 102.95 and 91.25 degrees. Symmetry generates all atoms from Sn at (0.206, 0.143, 0.279), Sb at (0.334, 0.604, 0.202) and H at (0.102, 0.786, 0.579).

No. 2
DFT (PBE) results for a relaxed SnSbH crystal.

As for the volume: 133.2 Å³ per cell. The density of states at the Fermi level comes out at 0.547 states/eV/atom. The calculation puts the relative energy among the computed polymorphs at 152 meV per atom.

The space group is I4mm (No. 107) and the conventional cell measures 4.343, 4.343 and 7.062 Å, with angles of 90.00, 90.00 and 90.00 degrees. Symmetry generates all atoms from Sn at (0.000, 0.000, 0.000), Sb at (0.000, 0.000, 0.553) and H at (0.000, 0.000, 0.278).

Number 1: size of the total moment 0.00 μB/f.u.. Number 2: size of the total moment 0.00 μB/f.u..